# PBE+U PaNiPb2O8, optimized geometry
# Energy = -74.2 eV per cell
# Space group = I-4m2 (119)
# DOS at the Fermi energy = 6.262 states/eV/f.u.
data_PaNiPb2O8
_cell_length_a 6.147
_cell_length_b 6.147
_cell_length_c 6.147
_cell_angle_alpha 111.64
_cell_angle_beta 111.64
_cell_angle_gamma 105.21
_symmetry_space_group_name_H-M 'P 1'
_symmetry_Int_Tables_number 1
loop_
_symmetry_equiv_pos_as_xyz
'x,y,z'
loop_
_atom_site_label
_atom_site_type_symbol
_atom_site_fract_x
_atom_site_fract_y
_atom_site_fract_z
_atom_site_occupancy
Pa1 Pa 0.000 0.000 0.000 1
Ni1 Ni 0.250 0.750 0.500 1
Pb1 Pb 0.500 0.500 0.000 1
Pb2 Pb 0.750 0.250 0.500 1
O1 O 0.282 0.082 0.801 1
O2 O 0.282 0.481 0.199 1
O3 O 0.349 0.044 0.305 1
O4 O 0.519 0.718 0.801 1
O5 O 0.739 0.044 0.695 1
O6 O 0.918 0.718 0.199 1
O7 O 0.956 0.261 0.305 1
O8 O 0.956 0.651 0.695 1